This record from Alexandria describes a relaxed structure of TaCo3. The functional is GGA-PBEsol.

Cell: 5.0894 5.0894 6.8271 Å, 68.12 68.12 60.00°
Fractional positions:
Co: 0.0000 0.5000 0.0000
Co: 0.5000 0.5000 0.0000
Co: 0.5000 0.0000 0.0000
Co: 0.7136 0.2425 0.3303
Co: 0.2425 0.7136 0.3303
Co: 0.7136 0.7136 0.3303
Co: 0.2864 0.7575 0.6697
Co: 0.2864 0.2864 0.6697
Co: 0.7575 0.2864 0.6697
Ta: 0.0000 0.0000 0.0000
Ta: 0.2185 0.2185 0.3444
Ta: 0.7815 0.7815 0.6556

* spin magnetization: 0.0 μB/cell
* space group: R-3m, No. 166
* VASP energy: -9.217 eV per atom
* calculated density: 12.89 g cm⁻³
* density of states at the Fermi level: 0.8990 states/eV/atom
* ΔE_f: -276 meV/atom
* crystal system: trigonal